Entry 1:
VASP calculation (PBE-GGA) on a geometry-optimized Tb2TlAs structure.

```
Tb2TlAs
1.0
-3.122 2.072 -1.473
-3.760 -1.076 0.955
-2.072 5.136 6.115
Tl Tb As
1 2 1
direct
0.500 0.500 0.500 Tl
0.263 0.263 0.212 Tb
0.737 0.737 0.788 Tb
0.000 0.000 0.000 As
```

Calculated values
Mass density in g/cm3: 8.9
Total magnetization in μB/f.u.: 0.00
ΔH_f (0 K) in kJ/mol of atoms: -87.60
DOS at the Fermi energy in states/eV/cell: 1.84

Entry 2:
VASP calculation (PBE-GGA) on a geometry-optimized SbRuPb2 structure.

```
SbRuPb2
1.0
-2.484 -2.629 1.603
-1.307 -1.510 -4.501
3.640 -3.391 0.081
Pb Ru Sb
2 1 1
direct
0.000 0.000 0.000 Pb
0.500 0.500 0.000 Pb
0.500 0.000 0.500 Ru
0.000 0.500 0.500 Sb
```

Calculated values
Mass density in g/cm3: 10.9
Total magnetization in μB/f.u.: 0.72
Formation energy without anion corrections in eV per atom: 0.58
DOS at the Fermi energy in states/eV/cell: 3.67